1.
DFT (GGA-PBE) results for an optimized crystal structure of Sc2ZnAg.

energy of formation	-0.321	eV per atom
M_tot	0.00	μB per formula unit

abc: 4.7915 3.3940 9.6086
angles: 90.00 90.00 90.00
Last column: nearest neighbours and their distance in Å.
Space group Pmma (No. 51)
Inequivalent atoms, fractional coordinates:
Sc1 0.2500 0.0000 0.1207 (multiplicity 2)  6 Zn 2.87-2.94, 2 Ag 2.98
Sc2 0.2500 0.0000 0.6318 (multiplicity 2)  2 Zn 2.93, 6 Ag 2.94-2.98
Zn1 0.2500 0.5000 0.8798 (multiplicity 2)  8 Sc 2.87-2.94
Ag1 0.2500 0.5000 0.3762 (multiplicity 2)  8 Sc 2.94-2.98

***

2.
DFT (GGA-PBE) results for an optimized crystal structure of ThSiTc2B.

raw formation energy	-458	meV per atom
M_tot	0.00	μB per formula unit

abc: 5.7436 10.0072 5.6344
angles: 90.00 90.00 90.00
Last column: nearest neighbours and their distance in Å.
Space group Cmcm (No. 63)
Inequivalent atoms, fractional coordinates:
Th1 0.0000 0.2404 0.2500 (multiplicity 4)  4 Si 3.03-3.15, 4 B 3.07-3.10, 8 Tc 3.22
Si1 0.0000 0.1303 0.7500 (multiplicity 4)  1 B 2.39, 4 Tc 2.50
Tc1 0.2206 0.5000 0.0000 (multiplicity 8)  2 B 2.30, 2 Si 2.50, 1 Tc 2.53
B1 0.0000 0.3689 0.7500 (multiplicity 4)  4 Tc 2.30, 1 Si 2.39

***

3.
DFT (GGA-PBE) results for an optimized crystal structure of FeCuTc2.

energy above the lowest structure with this stoichiometry	2.05	eV/f.u.
energy of formation	0.669	eV per atom
M_tot	0.00	μB per formula unit

abc: 6.8388 6.8388 4.9462
angles: 90.00 90.00 90.00
Last column: nearest neighbours and their distance in Å.
Space group I-42d (No. 122)
Inequivalent atoms, fractional coordinates:
Fe1 0.0000 0.0000 0.0000 (multiplicity 4)  4 Tc 2.26, 2 Cu 2.47
Cu1 0.0000 0.0000 0.5000 (multiplicity 4)  2 Fe 2.47, 4 Tc 2.76
Tc1 0.1967 0.2500 0.1250 (multiplicity 8)  2 Fe 2.26

***

4.
DFT (GGA-PBE) results for an optimized crystal structure of PrTlBiAu.

energy of formation	-0.373	eV per atom
M_tot	0.00	μB per formula unit

abc: 7.7342 7.7342 7.7342
angles: 90.00 90.00 90.00
Last column: nearest neighbours and their distance in Å.
Space group F-43m (No. 216)
Inequivalent atoms, fractional coordinates:
Pr1 0.0000 0.0000 0.0000 (multiplicity 4)  4 Bi 3.35, 4 Au 3.35
Tl1 0.0000 0.0000 0.5000 (multiplicity 4)  4 Bi 3.35, 4 Au 3.35
Bi1 0.2500 0.2500 0.2500 (multiplicity 4)  4 Tl 3.35, 4 Pr 3.35
Au1 0.2500 0.2500 0.7500 (multiplicity 4)  4 Tl 3.35, 4 Pr 3.35

***

5.
DFT (GGA-PBE) results for an optimized crystal structure of Nd2Zn2InNi5.

energy of formation	-0.219	eV per atom
M_tot	0.00	μB per formula unit

abc: 9.5613 9.5613 3.6478
angles: 90.00 90.00 90.00
Last column: nearest neighbours and their distance in Å.
Space group P4/mbm (No. 127)
Inequivalent atoms, fractional coordinates:
Nd1 0.1814 0.3186 0.0000 (multiplicity 4)  3 Zn 2.77-2.90, 6 Ni 3.06-3.08
Zn1 0.1140 0.6140 0.0000 (multiplicity 4)  6 Ni 2.39-2.49
In1 0.0000 0.0000 0.0000 (multiplicity 2)  8 Ni 2.82
Ni1 0.0000 0.5000 0.5000 (multiplicity 2)  4 Zn 2.39
Ni2 0.0619 0.7836 0.5000 (multiplicity 8)  2 Zn 2.49, 1 Ni 2.78

***

6.
DFT (GGA-PBE) results for an optimized crystal structure of TmMgSc2In4.

energy of formation	-0.327	eV per atom
M_tot	0.00	μB per formula unit

abc: 5.0688 5.0688 25.3975
angles: 90.00 90.00 120.00
Last column: nearest neighbours and their distance in Å.
Space group R-3m (No. 166, hexagonal axes)
Inequivalent atoms, fractional coordinates:
Tm1 0.0000 0.0000 0.0000 (multiplicity 3)  8 In 3.13-3.18
Mg1 0.0000 0.0000 0.5000 (multiplicity 3)  8 In 3.11-3.12
Sc1 0.0000 0.0000 0.2464 (multiplicity 6)  8 In 3.07-3.32
In1 0.0000 0.0000 0.1254 (multiplicity 6)  4 Sc 3.07-3.09, 3 Mg 3.11, 1 Tm 3.18
In2 0.0000 0.0000 0.3770 (multiplicity 6)  1 Mg 3.12, 4 Sc 3.13-3.32, 3 Tm 3.13

***

7.
DFT (GGA-PBE) results for an optimized crystal structure of PrDy2Tm6.

energy above the lowest structure with this stoichiometry	3.30	eV/f.u.
energy of formation	0.391	eV per atom
M_tot	0.00	μB per formula unit

abc: 6.8583 6.8583 23.1053
angles: 90.00 90.00 120.00
Last column: nearest neighbours and their distance in Å.
Space group R3m (No. 160, hexagonal axes)
Inequivalent atoms, fractional coordinates:
Pr1 0.0000 0.0000 0.0000 (multiplicity 3)  6 Tm 3.22-3.28
Dy1 0.0000 0.0000 0.2464 (multiplicity 3)  9 Tm 3.48-3.68, 1 Dy 3.84
Dy2 0.0000 0.0000 0.4125 (multiplicity 3)  9 Tm 3.51-3.82, 1 Dy 3.84
Tm1 0.0041 0.5021 0.2211 (multiplicity 9)  6 Tm 3.24-3.47, 1 Pr 3.28, 2 Dy 3.48
Tm2 0.1698 0.3396 0.7778 (multiplicity 9)  1 Pr 3.22, 6 Tm 3.24-3.49, 2 Dy 3.51

***

8.
DFT (GGA-PBE) results for an optimized crystal structure of Ga2CuHg2.

energy above the lowest structure with this stoichiometry	0.00	eV/f.u.
energy of formation	0.130	eV per atom
M_tot	0.00	μB per formula unit

abc: 6.5488 6.5488 4.8722
angles: 90.00 90.00 90.00
Last column: nearest neighbours and their distance in Å.
Space group P4/mbm (No. 127)
Inequivalent atoms, fractional coordinates:
Ga1 0.1473 0.3527 0.0000 (multiplicity 4)  2 Cu 2.50, 1 Ga 2.73
Cu1 0.0000 0.0000 0.0000 (multiplicity 2)  4 Ga 2.50
Hg1 0.1827 0.6827 0.5000 (multiplicity 4)  2 Ga 2.90

***

9.
DFT (GGA-PBE) results for an optimized crystal structure of PrErTmZn.

energy above the lowest structure with this stoichiometry	0.00	eV/f.u.
energy of formation	-0.169	eV per atom
M_tot	0.00	μB per formula unit

abc: 3.5568 3.5568 8.7581
angles: 90.00 90.00 90.00
Last column: nearest neighbours and their distance in Å.
Space group P4mm (No. 99)
Inequivalent atoms, fractional coordinates:
Pr1 0.0000 0.0000 0.0000 (multiplicity 1)  4 Pr 3.56, 4 Tm 3.64, 4 Er 3.65
Er1 0.5000 0.5000 0.6985 (multiplicity 1)  4 Zn 3.07
Tm1 0.5000 0.5000 0.3000 (multiplicity 1)  4 Zn 3.05
Zn1 0.0000 0.0000 0.4976 (multiplicity 1)  4 Tm 3.05, 4 Er 3.07

***

10.
DFT (GGA-PBE) results for an optimized crystal structure of NaAl2Au9.

energy of formation	-0.225	eV per atom
M_tot	0.00	μB per formula unit

abc: 11.3110 11.3110 7.1620
angles: 90.00 90.00 90.00
Last column: nearest neighbours and their distance in Å.
Space group I4_1/amd (No. 141, origin choice 2)
Inequivalent atoms, fractional coordinates:
Na1 0.0000 0.2500 0.3750 (multiplicity 4)  18 Au 3.40-3.71
Al1 0.0000 0.0000 0.0000 (multiplicity 8)  10 Au 2.71-2.97
Au1 0.0000 0.2500 0.8750 (multiplicity 4)  4 Al 2.97, 8 Au 2.97
Au2 0.1208 0.0529 0.6794 (multiplicity 32)  2 Al 2.71-2.74, 6 Au 2.73-3.02

***

11.
DFT (GGA-PBE) results for an optimized crystal structure of CrInSCl2.

energy above the lowest structure with this stoichiometry	2.83	eV/f.u.
raw formation energy	-45	meV per atom
M_tot	4.75	μB per formula unit

abc: 5.0846 5.0846 5.0781
angles: 90.00 90.00 90.00
Last column: nearest neighbours and their distance in Å.
Space group P4/mmm (No. 123)
Inequivalent atoms, fractional coordinates:
Cr1 0.0000 0.0000 0.0000 (multiplicity 1)  8 Cl 3.59, 4 S 3.60
In1 0.5000 0.5000 0.5000 (multiplicity 1)  2 S 2.54, 4 Cl 2.54
S1 0.5000 0.5000 0.0000 (multiplicity 1)  2 In 2.54
Cl1 0.0000 0.5000 0.5000 (multiplicity 2)  2 In 2.54

***

12.
DFT (GGA-PBE) results for an optimized crystal structure of KMg2Cr.

energy above the lowest structure with this stoichiometry	0.90	eV/f.u.
energy of formation	0.682	eV per atom
M_tot	4.08	μB per formula unit

abc: 5.6382 5.6382 3.3300
angles: 90.00 90.00 90.00
Last column: nearest neighbours and their distance in Å.
Space group P4/mmm (No. 123)
Inequivalent atoms, fractional coordinates:
K1 0.0000 0.0000 0.0000 (multiplicity 1)  8 Mg 3.27, 2 K 3.33
Mg1 0.0000 0.5000 0.5000 (multiplicity 2)  4 Cr 3.27, 4 K 3.27, 2 Mg 3.33
Cr1 0.5000 0.5000 0.0000 (multiplicity 1)  8 Mg 3.27, 2 Cr 3.33

***

Taking the records one at a time from the top gives VASP energy values of -4.52; -8.51; -7.65; -3.95; -4.59; -4.04; -4.14; -2.02; -3.94; -3.42; -4.08; -2.80 eV/atom.